Entry 1:
# Er2Al2Zn GGA-PBE relaxed
data_Er2Al2Zn
_chemical_formula_sum 'Er8 Al8 Zn4'
_symmetry_space_group_name_H-M 'C 1 2/m 1'
_symmetry_Int_Tables_number 12
_cell_length_a 10.599
_cell_length_b 4.449
_cell_length_c 10.394
_cell_angle_alpha 90.00
_cell_angle_beta 116.82
_cell_angle_gamma 90.00
loop_
_symmetry_equiv_pos_as_xyz
'x,y,z'
'-x,-y,-z'
'-x,y,-z'
'x,-y,z'
'x+1/2,y+1/2,z'
'-x+1/2,-y+1/2,-z'
'-x+1/2,y+1/2,-z'
'x+1/2,-y+1/2,z'
loop_
_atom_site_label
_atom_site_type_symbol
_atom_site_fract_x
_atom_site_fract_y
_atom_site_fract_z
Er1 Er 0.018 0.000 0.333
Er2 Er 0.182 0.000 0.095
Al1 Al 0.018 0.500 0.880
Al2 Al 0.141 0.500 0.567
Zn1 Zn 0.226 0.500 0.343
# E_tot	-4.00	eV per atom
# crystal system	monoclinic

---

Entry 2:
# Er3Al8Zn3 GGA-PBE relaxed
data_Er3Al8Zn3
_chemical_formula_sum 'Er6 Al16 Zn6'
_symmetry_space_group_name_H-M 'I m m m'
_symmetry_Int_Tables_number 71
_symmetry_space_group_name_Hall '-I 2 2'
_cell_length_a 4.266
_cell_length_b 10.027
_cell_length_c 12.275
_cell_angle_alpha 90.00
_cell_angle_beta 90.00
_cell_angle_gamma 90.00
loop_
_atom_site_label
_atom_site_type_symbol
_atom_site_fract_x
_atom_site_fract_y
_atom_site_fract_z
Er1 Er 0.000 0.000 0.000
Er2 Er 0.000 0.000 0.312
Al1 Al 0.000 0.281 0.134
Al2 Al 0.000 0.372 0.342
Zn1 Zn 0.000 0.202 0.500
Zn2 Zn 0.000 0.500 0.000
# E_tot	-3.73	eV per atom
# crystal system	orthorhombic

---

Entry 3:
# Er11Al9Zn4 GGA-PBE relaxed
data_Er11Al9Zn4
_chemical_formula_sum 'Er22 Al18 Zn8'
_symmetry_space_group_name_H-M 'C m m m'
_symmetry_Int_Tables_number 65
_symmetry_space_group_name_Hall '-C 2 2'
_cell_length_a 14.010
_cell_length_b 21.080
_cell_length_c 3.583
_cell_angle_alpha 90.00
_cell_angle_beta 90.00
_cell_angle_gamma 90.00
loop_
_atom_site_label
_atom_site_type_symbol
_atom_site_fract_x
_atom_site_fract_y
_atom_site_fract_z
Er1 Er 0.000 0.000 0.000
Er2 Er 0.000 0.162 0.000
Er3 Er 0.000 0.367 0.000
Er4 Er 0.201 0.500 0.000
Er5 Er 0.233 0.176 0.000
Al1 Al 0.000 0.500 0.500
Al2 Al 0.103 0.266 0.500
Al3 Al 0.144 0.071 0.500
Zn1 Zn 0.153 0.399 0.500
# E_tot	-4.08	eV per atom
# crystal system	orthorhombic

---

Entry 4:
# Er4AlZn2 GGA-PBE relaxed
data_Er4AlZn2
_chemical_formula_sum 'Er12 Al3 Zn6'
_symmetry_space_group_name_H-M 'R -3 m'
_symmetry_Int_Tables_number 166
_symmetry_space_group_name_Hall '-R 3 2"'
_cell_length_a 4.9647
_cell_length_b 4.9647
_cell_length_c 24.0575
_cell_angle_alpha 90.00
_cell_angle_beta 90.00
_cell_angle_gamma 120.00
loop_
_atom_site_label
_atom_site_type_symbol
_atom_site_fract_x
_atom_site_fract_y
_atom_site_fract_z
Er1 Er 0.0000 0.0000 0.1187
Er2 Er 0.0000 0.0000 0.3714
Al1 Al 0.0000 0.0000 0.5000
Zn1 Zn 0.0000 0.0000 0.2457
# E_tot	-3.72	eV per atom
# crystal system	trigonal
# energy relative to the lowest polymorph listed for this composition	0	meV/atom

---

Entry 5:
# ErAlZn GGA-PBE relaxed
data_ErAlZn
_chemical_formula_sum 'Er1 Al1 Zn1'
_symmetry_space_group_name_H-M 'P 4/m m m'
_symmetry_Int_Tables_number 123
_symmetry_space_group_name_Hall '-P 4 2'
_cell_length_a 3.997
_cell_length_b 3.997
_cell_length_c 4.680
_cell_angle_alpha 90.00
_cell_angle_beta 90.00
_cell_angle_gamma 90.00
loop_
_atom_site_label
_atom_site_type_symbol
_atom_site_fract_x
_atom_site_fract_y
_atom_site_fract_z
Er1 Er 0.000 0.000 0.000
Al1 Al 0.500 0.500 0.500
Zn1 Zn 0.500 0.500 0.000
# E_tot	-2.99	eV per atom
# crystal system	tetragonal

---

Entry 6:
# Er3Al5Zn6 GGA-PBE relaxed
data_Er3Al5Zn6
_chemical_formula_sum 'Er6 Al10 Zn12'
_symmetry_space_group_name_H-M 'P m m n'
_symmetry_Int_Tables_number 59
_cell_length_a 4.233
_cell_length_b 12.361
_cell_length_c 9.725
_cell_angle_alpha 90.00
_cell_angle_beta 90.00
_cell_angle_gamma 90.00
loop_
_symmetry_equiv_pos_as_xyz
'x,y,z'
'-x,-y,-z'
'-x+1/2,-y+1/2,z'
'x+1/2,y+1/2,-z'
'x+1/2,-y,-z'
'-x+1/2,y,z'
'-x,y+1/2,-z'
'x,-y+1/2,z'
loop_
_atom_site_label
_atom_site_type_symbol
_atom_site_fract_x
_atom_site_fract_y
_atom_site_fract_z
Er1 Er 0.250 0.056 0.249
Er2 Er 0.250 0.750 0.248
Al1 Al 0.250 0.091 0.886
Al2 Al 0.250 0.603 0.522
Al3 Al 0.250 0.750 0.745
Zn1 Zn 0.250 0.095 0.627
Zn2 Zn 0.250 0.250 0.055
Zn3 Zn 0.250 0.250 0.452
Zn4 Zn 0.250 0.613 0.969
# E_tot	-3.24	eV per atom
# crystal system	orthorhombic

---

Entry 7:
# Er2AlZn3 GGA-PBE relaxed
data_Er2AlZn3
_chemical_formula_sum 'Er4 Al2 Zn6'
_symmetry_space_group_name_H-M 'I m m 2'
_symmetry_Int_Tables_number 44
_cell_length_a 3.698
_cell_length_b 4.330
_cell_length_c 15.550
_cell_angle_alpha 90.00
_cell_angle_beta 90.00
_cell_angle_gamma 90.00
loop_
_symmetry_equiv_pos_as_xyz
'x,y,z'
'-x,-y,z'
'-x,y,z'
'x,-y,z'
'x+1/2,y+1/2,z+1/2'
'-x+1/2,-y+1/2,z+1/2'
'-x+1/2,y+1/2,z+1/2'
'x+1/2,-y+1/2,z+1/2'
loop_
_atom_site_label
_atom_site_type_symbol
_atom_site_fract_x
_atom_site_fract_y
_atom_site_fract_z
Er1 Er 0.000 0.000 0.000
Er2 Er 0.000 0.500 0.256
Al1 Al 0.000 0.000 0.589
Zn1 Zn 0.000 0.000 0.427
Zn2 Zn 0.000 0.500 0.668
Zn3 Zn 0.000 0.500 0.827
# E_tot	-3.11	eV per atom
# crystal system	orthorhombic
# energy relative to the lowest polymorph listed for this composition	83	meV/atom

---

Entry 8:
# ErAl2Zn9 GGA-PBE relaxed
data_ErAl2Zn9
_chemical_formula_sum 'Er4 Al8 Zn36'
_symmetry_space_group_name_H-M 'I 41/a m d'
_symmetry_Int_Tables_number 141
_cell_length_a 10.545
_cell_length_b 10.545
_cell_length_c 7.022
_cell_angle_alpha 90.00
_cell_angle_beta 90.00
_cell_angle_gamma 90.00
loop_
_symmetry_equiv_pos_as_xyz
'x,y,z'
'-x,-y,-z'
'-y+1/4,x+3/4,z+1/4'
'y+1/4,-x+3/4,-z+1/4'
'-x+1/2,-y,z+1/2'
'x+1/2,y,-z+1/2'
'y+1/4,-x+1/4,z+3/4'
'-y+1/4,x+1/4,-z+3/4'
'x,-y,-z'
'-x,y,z'
'-y+1/4,-x+1/4,-z+3/4'
'y+1/4,x+1/4,z+3/4'
'-x+1/2,y,-z+1/2'
'x+1/2,-y,z+1/2'
'y+1/4,x+3/4,-z+1/4'
'-y+1/4,-x+3/4,z+1/4'
'x+1/2,y+1/2,z+1/2'
'-x+1/2,-y+1/2,-z+1/2'
'-y+3/4,x+1/4,z+3/4'
'y+3/4,-x+1/4,-z+3/4'
'-x,-y+1/2,z'
'x,y+1/2,-z'
'y+3/4,-x+3/4,z+1/4'
'-y+3/4,x+3/4,-z+1/4'
'x+1/2,-y+1/2,-z+1/2'
'-x+1/2,y+1/2,z+1/2'
'-y+3/4,-x+3/4,-z+1/4'
'y+3/4,x+3/4,z+1/4'
'-x,y+1/2,-z'
'x,-y+1/2,z'
'y+3/4,x+1/4,-z+3/4'
'-y+3/4,-x+1/4,z+3/4'
loop_
_atom_site_label
_atom_site_type_symbol
_atom_site_fract_x
_atom_site_fract_y
_atom_site_fract_z
Er1 Er 0.000 0.250 0.375
Al1 Al 0.000 0.000 0.000
Zn1 Zn 0.000 0.250 0.875
Zn2 Zn 0.120 0.045 0.672
# E_tot	-2.08	eV per atom
# crystal system	tetragonal

---

Entry 9:
# Er2Al9Zn GGA-PBE relaxed
data_Er2Al9Zn
_chemical_formula_sum 'Er2 Al9 Zn1'
_symmetry_space_group_name_H-M 'P 4/m m m'
_symmetry_Int_Tables_number 123
_symmetry_space_group_name_Hall '-P 4 2'
_cell_length_a 4.204
_cell_length_b 4.204
_cell_length_c 12.394
_cell_angle_alpha 90.00
_cell_angle_beta 90.00
_cell_angle_gamma 90.00
loop_
_atom_site_label
_atom_site_type_symbol
_atom_site_fract_x
_atom_site_fract_y
_atom_site_fract_z
Er1 Er 0.000 0.000 0.172
Al1 Al 0.000 0.500 0.000
Al2 Al 0.000 0.500 0.350
Al3 Al 0.500 0.500 0.170
Al4 Al 0.500 0.500 0.500
Zn1 Zn 0.000 0.000 0.500
# E_tot	-3.91	eV per atom
# crystal system	tetragonal

---

Entry 10:
# ErAlZn17 GGA-PBE relaxed
data_ErAlZn17
_chemical_formula_sum 'Er3 Al3 Zn51'
_symmetry_space_group_name_H-M 'R 3 m'
_symmetry_Int_Tables_number 160
_symmetry_space_group_name_Hall 'R 3 -2"'
_cell_length_a 8.8746
_cell_length_b 8.8746
_cell_length_c 13.4250
_cell_angle_alpha 90.00
_cell_angle_beta 90.00
_cell_angle_gamma 120.00
loop_
_atom_site_label
_atom_site_type_symbol
_atom_site_fract_x
_atom_site_fract_y
_atom_site_fract_z
Er1 Er 0.0000 0.0000 0.0000
Al1 Al 0.0000 0.0000 0.2527
Zn1 Zn 0.0000 0.0000 0.5654
Zn2 Zn 0.0000 0.0000 0.7608
Zn3 Zn 0.0020 0.5010 0.8194
Zn4 Zn 0.0219 0.3390 0.3327
Zn5 Zn 0.1681 0.3363 0.8353
Zn6 Zn 0.1704 0.3407 0.5078
# E_tot	-1.65	eV per atom
# crystal system	trigonal

---

Entry 11:
# Er3Al3Zn GGA-PBE relaxed
data_Er3Al3Zn
_chemical_formula_sum 'Er12 Al12 Zn4'
_symmetry_space_group_name_H-M 'C 1 2/m 1'
_symmetry_Int_Tables_number 12
_cell_length_a 10.730
_cell_length_b 4.434
_cell_length_c 14.177
_cell_angle_alpha 90.00
_cell_angle_beta 109.42
_cell_angle_gamma 90.00
loop_
_symmetry_equiv_pos_as_xyz
'x,y,z'
'-x,-y,-z'
'-x,y,-z'
'x,-y,z'
'x+1/2,y+1/2,z'
'-x+1/2,-y+1/2,-z'
'-x+1/2,y+1/2,-z'
'x+1/2,-y+1/2,z'
loop_
_atom_site_label
_atom_site_type_symbol
_atom_site_fract_x
_atom_site_fract_y
_atom_site_fract_z
Er1 Er 0.038 0.000 0.382
Er2 Er 0.100 0.000 0.920
Er3 Er 0.242 0.000 0.221
Al1 Al 0.037 0.500 0.235
Al2 Al 0.111 0.500 0.074
Al3 Al 0.132 0.500 0.545
Zn1 Zn 0.247 0.500 0.392
# E_tot	-4.15	eV per atom
# crystal system	monoclinic

---

Entry 12:
# ErAlZn GGA-PBE relaxed
data_ErAlZn
_chemical_formula_sum 'Er4 Al4 Zn4'
_symmetry_space_group_name_H-M 'C 1 2/m 1'
_symmetry_Int_Tables_number 12
_cell_length_a 10.403
_cell_length_b 4.448
_cell_length_c 7.068
_cell_angle_alpha 90.00
_cell_angle_beta 132.08
_cell_angle_gamma 90.00
loop_
_symmetry_equiv_pos_as_xyz
'x,y,z'
'-x,-y,-z'
'-x,y,-z'
'x,-y,z'
'x+1/2,y+1/2,z'
'-x+1/2,-y+1/2,-z'
'-x+1/2,y+1/2,-z'
'x+1/2,-y+1/2,z'
loop_
_atom_site_label
_atom_site_type_symbol
_atom_site_fract_x
_atom_site_fract_y
_atom_site_fract_z
Er1 Er 0.029 0.000 0.282
Al1 Al 0.166 0.500 0.128
Zn1 Zn 0.164 0.500 0.704
# E_tot	-3.64	eV per atom
# crystal system	monoclinic

---

Entry 13:
# Er4Al3Zn GGA-PBE relaxed
data_Er4Al3Zn
_chemical_formula_sum 'Er4 Al3 Zn1'
_symmetry_space_group_name_H-M 'P m m 2'
_symmetry_Int_Tables_number 25
_cell_length_a 3.642
_cell_length_b 4.459
_cell_length_c 11.552
_cell_angle_alpha 90.00
_cell_angle_beta 90.00
_cell_angle_gamma 90.00
loop_
_symmetry_equiv_pos_as_xyz
'x,y,z'
'-x,-y,z'
'-x,y,z'
'x,-y,z'
loop_
_atom_site_label
_atom_site_type_symbol
_atom_site_fract_x
_atom_site_fract_y
_atom_site_fract_z
Er1 Er 0.000 0.000 0.000
Er2 Er 0.000 0.500 0.308
Er3 Er 0.500 0.000 0.495
Er4 Er 0.500 0.500 0.812
Al1 Al 0.000 0.000 0.722
Al2 Al 0.000 0.500 0.586
Al3 Al 0.500 0.500 0.088
Zn1 Zn 0.500 0.000 0.223
# E_tot	-4.21	eV per atom
# crystal system	orthorhombic
# energy relative to the lowest polymorph listed for this composition	25	meV/atom

---

Entry 14:
# ErAl4Zn GGA-PBE relaxed
data_ErAl4Zn
_chemical_formula_sum 'Er4 Al16 Zn4'
_symmetry_space_group_name_H-M 'F -4 3 m'
_symmetry_Int_Tables_number 216
_symmetry_space_group_name_Hall 'F -4 2 3'
_cell_length_a 7.711
_cell_length_b 7.711
_cell_length_c 7.711
_cell_angle_alpha 90.00
_cell_angle_beta 90.00
_cell_angle_gamma 90.00
loop_
_atom_site_label
_atom_site_type_symbol
_atom_site_fract_x
_atom_site_fract_y
_atom_site_fract_z
Er1 Er 0.000 0.000 0.000
Al1 Al 0.125 0.125 0.625
Zn1 Zn 0.250 0.250 0.250
# E_tot	-3.60	eV per atom
# crystal system	cubic

---

Entry 15:
# ErAlZn GGA-PBE relaxed
data_ErAlZn
_chemical_formula_sum 'Er2 Al2 Zn2'
_symmetry_space_group_name_H-M 'I 4 m m'
_symmetry_Int_Tables_number 107
_symmetry_space_group_name_Hall 'I 4 -2'
_cell_length_a 3.283
_cell_length_b 3.283
_cell_length_c 11.130
_cell_angle_alpha 90.00
_cell_angle_beta 90.00
_cell_angle_gamma 90.00
loop_
_atom_site_label
_atom_site_type_symbol
_atom_site_fract_x
_atom_site_fract_y
_atom_site_fract_z
Er1 Er 0.000 0.000 0.000
Al1 Al 0.000 0.000 0.690
Zn1 Zn 0.000 0.000 0.319
# E_tot	-3.43	eV per atom
# crystal system	tetragonal

---

Entry 16:
# ErAl4Zn12 GGA-PBE relaxed
data_ErAl4Zn12
_chemical_formula_sum 'Er2 Al8 Zn24'
_symmetry_space_group_name_H-M 'I m -3'
_symmetry_Int_Tables_number 204
_symmetry_space_group_name_Hall '-I 2 2 3'
_cell_length_a 8.776
_cell_length_b 8.776
_cell_length_c 8.776
_cell_angle_alpha 90.00
_cell_angle_beta 90.00
_cell_angle_gamma 90.00
loop_
_atom_site_label
_atom_site_type_symbol
_atom_site_fract_x
_atom_site_fract_y
_atom_site_fract_z
Er1 Er 0.000 0.000 0.000
Al1 Al 0.250 0.250 0.250
Zn1 Zn 0.000 0.354 0.146
# E_tot	-1.80	eV per atom
# crystal system	cubic

---

Entry 17:
# Er2AlZn7 GGA-PBE relaxed
data_Er2AlZn7
_chemical_formula_sum 'Er2 Al1 Zn7'
_symmetry_space_group_name_H-M 'P -4 m 2'
_symmetry_Int_Tables_number 115
_cell_length_a 4.076
_cell_length_b 4.076
_cell_length_c 10.863
_cell_angle_alpha 90.00
_cell_angle_beta 90.00
_cell_angle_gamma 90.00
loop_
_symmetry_equiv_pos_as_xyz
'x,y,z'
'y,-x,-z'
'-x,-y,z'
'-y,x,-z'
'-x,y,z'
'-y,-x,-z'
'x,-y,z'
'y,x,-z'
loop_
_atom_site_label
_atom_site_type_symbol
_atom_site_fract_x
_atom_site_fract_y
_atom_site_fract_z
Er1 Er 0.000 0.500 0.249
Al1 Al 0.500 0.500 0.000
Zn1 Zn 0.000 0.000 0.000
Zn2 Zn 0.000 0.000 0.500
Zn3 Zn 0.000 0.500 0.638
Zn4 Zn 0.000 0.500 0.860
Zn5 Zn 0.500 0.500 0.500
# E_tot	-2.48	eV per atom
# crystal system	tetragonal

---

Entry 18:
# Er4Al12Zn GGA-PBE relaxed
data_Er4Al12Zn
_chemical_formula_sum 'Er8 Al24 Zn2'
_symmetry_space_group_name_H-M 'I m -3 m'
_symmetry_Int_Tables_number 229
_symmetry_space_group_name_Hall '-I 4 2 3'
_cell_length_a 8.653
_cell_length_b 8.653
_cell_length_c 8.653
_cell_angle_alpha 90.00
_cell_angle_beta 90.00
_cell_angle_gamma 90.00
loop_
_atom_site_label
_atom_site_type_symbol
_atom_site_fract_x
_atom_site_fract_y
_atom_site_fract_z
Er1 Er 0.250 0.250 0.250
Al1 Al 0.000 0.000 0.300
Al2 Al 0.000 0.250 0.500
Zn1 Zn 0.000 0.000 0.000
# E_tot	-4.15	eV per atom
# crystal system	cubic

---

Entry 19:
# Er12Al3Zn GGA-PBE relaxed
data_Er12Al3Zn
_chemical_formula_sum 'Er12 Al3 Zn1'
_symmetry_space_group_name_H-M 'P 4/m m m'
_symmetry_Int_Tables_number 123
_symmetry_space_group_name_Hall '-P 4 2'
_cell_length_a 4.714
_cell_length_b 4.714
_cell_length_c 18.855
_cell_angle_alpha 90.00
_cell_angle_beta 90.00
_cell_angle_gamma 90.00
loop_
_atom_site_label
_atom_site_type_symbol
_atom_site_fract_x
_atom_site_fract_y
_atom_site_fract_z
Er1 Er 0.000 0.000 0.000
Er2 Er 0.000 0.000 0.250
Er3 Er 0.000 0.000 0.500
Er4 Er 0.000 0.500 0.125
Er5 Er 0.000 0.500 0.375
Al1 Al 0.500 0.500 0.000
Al2 Al 0.500 0.500 0.251
Zn1 Zn 0.500 0.500 0.500
# E_tot	-4.36	eV per atom
# crystal system	tetragonal

---

Entry 20:
# Er5AlZn4 GGA-PBE relaxed
data_Er5AlZn4
_chemical_formula_sum 'Er5 Al1 Zn4'
_symmetry_space_group_name_H-M 'P 4/m m m'
_symmetry_Int_Tables_number 123
_symmetry_space_group_name_Hall '-P 4 2'
_cell_length_a 3.538
_cell_length_b 3.538
_cell_length_c 17.783
_cell_angle_alpha 90.00
_cell_angle_beta 90.00
_cell_angle_gamma 90.00
loop_
_atom_site_label
_atom_site_type_symbol
_atom_site_fract_x
_atom_site_fract_y
_atom_site_fract_z
Er1 Er 0.000 0.000 0.000
Er2 Er 0.000 0.000 0.199
Er3 Er 0.000 0.000 0.396
Al1 Al 0.500 0.500 0.500
Zn1 Zn 0.500 0.500 0.100
Zn2 Zn 0.500 0.500 0.298
# E_tot	-3.53	eV per atom
# crystal system	tetragonal